# 1
A relaxed MnNbBr2 crystal. Source: Alexandria, functional GGA-PBE.

- E_tot (eV for the cell shown) = -20.56
- distance to the lowest polymorph of the same formula (meV per atom) = 391
- formation energy from raw total energies (eV/atom) = 0.51
- total magnetic moment (Bohr magnetons per cell) = 4.30

a = 4.7281 Å, b = 4.7281 Å, c = 4.7281 Å
α = 60.00°, β = 60.00°, γ = 60.00°
Atoms (fractional coordinates):
Mn1 0.0000 0.0000 0.0000
Nb1 0.5000 0.5000 0.5000
Br1 0.2500 0.2500 0.2500
Br2 0.7500 0.7500 0.7500

=====

# 2
A relaxed MnNbBr2 crystal. Source: Alexandria, functional GGA-PBE.

- E_tot (eV for the cell shown) = -22.12
- distance to the lowest polymorph of the same formula (meV per atom) = 0
- formation energy from raw total energies (eV/atom) = 0.12
- total magnetic moment (Bohr magnetons per cell) = 4.53

a = 9.9938 Å, b = 9.9938 Å, c = 9.9938 Å
α = 18.92°, β = 18.92°, γ = 18.92°
Atoms (fractional coordinates):
Mn1 0.0000 0.0000 0.0000
Nb1 0.5000 0.5000 0.5000
Br1 0.1016 0.1016 0.1016
Br2 0.8984 0.8984 0.8984

=====

# 3
A relaxed Mn3NbBr crystal. Source: Alexandria, functional GGA-PBE.

- E_tot (eV for the cell shown) = -32.76
- distance to the lowest polymorph of the same formula (meV per atom) = 141
- formation energy from raw total energies (eV/atom) = 1.30
- total magnetic moment (Bohr magnetons per cell) = 8.86

a = 4.9100 Å, b = 4.9100 Å, c = 4.9100 Å
α = 90.00°, β = 90.00°, γ = 90.00°
Atoms (fractional coordinates):
Mn1 0.0000 0.0000 0.5000
Mn2 0.0000 0.5000 0.0000
Mn3 0.5000 0.0000 0.0000
Nb1 0.0000 0.0000 0.0000
Br1 0.5000 0.5000 0.5000

=====

# 4
A relaxed Mn3NbBr crystal. Source: Alexandria, functional GGA-PBE.

- E_tot (eV for the cell shown) = -33.46
- distance to the lowest polymorph of the same formula (meV per atom) = 0
- formation energy from raw total energies (eV/atom) = 1.16
- total magnetic moment (Bohr magnetons per cell) = 6.14

a = 4.4504 Å, b = 4.4504 Å, c = 4.4504 Å
α = 90.00°, β = 90.00°, γ = 90.00°
Atoms (fractional coordinates):
Mn1 0.0000 0.0000 0.5000
Mn2 0.0000 0.5000 0.0000
Mn3 0.5000 0.0000 0.0000
Nb1 0.5000 0.5000 0.5000
Br1 0.0000 0.0000 0.0000

=====

# 5
A relaxed Mn2NbBr crystal. Source: Alexandria, functional GGA-PBE.

- E_tot (eV for the cell shown) = -54.72
- distance to the lowest polymorph of the same formula (meV per atom) = 0
- formation energy from raw total energies (eV/atom) = 0.68
- total magnetic moment (Bohr magnetons per cell) = 12.00

a = 5.7874 Å, b = 5.7874 Å, c = 5.7874 Å
α = 102.50°, β = 102.50°, γ = 124.56°
Atoms (fractional coordinates):
Mn1 0.1120 0.6250 0.9870
Mn2 0.3750 0.3620 0.4870
Mn3 0.6380 0.1250 0.0130
Mn4 0.8750 0.8880 0.5130
Nb1 0.2500 0.7500 0.5000
Nb2 0.5000 0.5000 0.0000
Br1 0.0000 0.0000 0.0000
Br2 0.7500 0.2500 0.5000

=====

# 6
A relaxed MnNbBr2 crystal. Source: Alexandria, functional GGA-PBE.

- E_tot (eV for the cell shown) = -38.25
- distance to the lowest polymorph of the same formula (meV per atom) = 750
- formation energy from raw total energies (eV/atom) = 0.87
- total magnetic moment (Bohr magnetons per cell) = 1.71

a = 6.6213 Å, b = 6.6213 Å, c = 6.6213 Å
α = 127.94°, β = 127.94°, γ = 76.71°
Atoms (fractional coordinates):
Mn1 0.0000 0.0000 0.0000
Mn2 0.7500 0.2500 0.5000
Nb1 0.2500 0.7500 0.5000
Nb2 0.5000 0.5000 0.0000
Br1 0.0876 0.6250 0.9626
Br2 0.3750 0.3376 0.4626
Br3 0.6624 0.1250 0.0374
Br4 0.8750 0.9124 0.5374